# Li2PuVF8 (PBE+U, relaxed)
# Electronic total energy in eV per atom: -6.49
# Magnetization in Bohr magnetons per cell: 14.00
data_Li2PuVF8
_cell_length_a 6.8670
_cell_length_b 6.6033
_cell_length_c 6.9191
_cell_angle_alpha 90.00
_cell_angle_beta 90.07
_cell_angle_gamma 90.00
_space_group_name_H-M_alt 'C 1 2/m 1'
_space_group_IT_number 12
_space_group_name_Hall '-C 2y'
loop_
_atom_site_label
_atom_site_fract_x
_atom_site_fract_y
_atom_site_fract_z
_atom_site_occupancy
Li1 0.0006 0.0000 0.2140 1
Pu1 0.0000 0.5000 0.5000 1
V1 0.0000 0.5000 0.0000 1
F1 0.0000 0.2992 0.2221 1
F2 0.1828 0.0000 0.4992 1
F3 0.2142 0.0000 0.9999 1